P3Se, optimized geometry, DFT PBE; ρ = 3.245 g/cm³; E_form (uncorrected) = 592 meV per atom; N(E_F) = 2.95 states/eV/f.u.; V = 88 Å³/f.u.; SG = I4/mmm, No. 139; calculated total energy = -4.337 eV per atom
1.0
-3.7170 4.2777 5.6016
-4.7497 -0.3562 6.3880
6.1634 -2.1491 -4.5703
P Se
3 1
Direct
0.2500 0.7500 0.5000
0.5000 0.5000 0.0000
0.7500 0.2500 0.5000
0.0000 0.0000 0.0000